1.
Material: LaBH
Method: DFT, GGA-PBE
State: optimized geometry

Output
theoretical density: 5.5 Mg/m³
excess energy over the best structure of this formula in the dataset: 71 meV/atom

a b c (Å): 7.6532 3.2730 7.4562
angles (deg): 90.00 101.98 90.00
Last column: nearest neighbours and their distance in Å.
Space group C2/m (No. 12)
Asymmetric unit:
La 0.1951 0.0000 0.2327 x4  4 H 2.42-2.52
B 0.0000 0.0000 0.5000 x2  2 B 1.64
B 0.0000 0.5000 0.5000 x2  2 B 1.64
H 0.1356 0.0000 0.8997 x4  4 La 2.42-2.52, 2 H 2.63


2.
Material: LaB2H
Method: DFT, GGA-PBE
State: optimized geometry

Output
theoretical density: 5.3 Mg/m³
excess energy over the best structure of this formula in the dataset: 0 meV/atom

a b c (Å): 3.2611 3.2611 19.1953
angles (deg): 90.00 90.00 90.00
Last column: nearest neighbours and their distance in Å.
Space group I4_1/amd (No. 141, origin choice 2)
Asymmetric unit:
La 0.0000 0.2500 0.3750 x4  4 H 2.31
B 0.0000 0.0000 0.0000 x8  2 B 1.63
H 0.0000 0.2500 0.8750 x4  4 La 2.31, 4 B 2.53


3.
Material: LaB3H
Method: DFT, GGA-PBE
State: optimized geometry

Output
theoretical density: 4.8 Mg/m³
excess energy over the best structure of this formula in the dataset: 0 meV/atom

a b c (Å): 3.9086 3.9086 3.9086
angles (deg): 90.00 90.00 90.00
Last column: nearest neighbours and their distance in Å.
Space group Pm-3m (No. 221)
Asymmetric unit:
La 0.0000 0.0000 0.0000 x1  12 B 2.76
B 0.0000 0.5000 0.5000 x3  2 H 1.95
H 0.5000 0.5000 0.5000 x1  6 B 1.95


4.
Material: LaB4H12
Method: DFT, GGA-PBE
State: optimized geometry

Output
theoretical density: 2.6 Mg/m³
energy: -3.900 eV per atom

a b c (Å): 6.2504 6.2504 6.2504
angles (deg): 90.00 90.00 90.00
Last column: nearest neighbours and their distance in Å.
Space group Im-3m (No. 229)
Asymmetric unit:
La 0.0000 0.0000 0.0000 x2  12 H 2.28
B 0.2500 0.2500 0.2500 x8  6 H 1.56
H 0.0000 0.2576 0.2576 x24  2 B 1.56


5.
Material: La2MnBH
Method: DFT, GGA-PBE
State: optimized geometry

Output
theoretical density: 5.9 Mg/m³
energy: -5.227 eV per atom

a b c (Å): 5.3841 5.3841 3.3605
angles (deg): 90.00 90.00 90.00
Last column: nearest neighbours and their distance in Å.
Space group P4/mmm (No. 123)
Asymmetric unit:
La 0.0000 0.5000 0.0000 x2  2 B 2.69
Mn 0.0000 0.0000 0.5000 x1  8 La 3.17, 2 Mn 3.36
B 0.5000 0.5000 0.0000 x1  2 H 1.68
H 0.5000 0.5000 0.5000 x1  2 B 1.68


6.
Material: LaB2HN
Method: DFT, GGA-PBE
State: optimized geometry

Output
theoretical density: 2.3 Mg/m³
energy: -3.618 eV per atom

a b c (Å): 5.4516 5.4516 4.2048
angles (deg): 90.00 90.00 90.00
Last column: nearest neighbours and their distance in Å.
Space group P4/mmm (No. 123)
Asymmetric unit:
La 0.0000 0.0000 0.0000 x1  2 N 2.10
B 0.0000 0.5000 0.0000 x2  2 La 2.73
H 0.5000 0.5000 0.5000 x1  8 B 3.44, 4 N 3.85
N 0.0000 0.0000 0.5000 x1  2 La 2.10


7.
Material: LaB2HPd
Method: DFT, GGA-PBE
State: optimized geometry

Output
theoretical density: 3.1 Mg/m³
energy: -3.050 eV per atom

a b c (Å): 5.1686 5.1686 5.3039
angles (deg): 90.00 90.00 90.00
Last column: nearest neighbours and their distance in Å.
Space group P4/mmm (No. 123)
Asymmetric unit:
La 0.0000 0.0000 0.0000 x1  4 B 2.58, 2 Pd 2.65
B 0.0000 0.5000 0.0000 x2  2 La 2.58
H 0.5000 0.5000 0.5000 x1  4 Pd 3.65, 8 B 3.70
Pd 0.0000 0.0000 0.5000 x1  2 La 2.65


8.
Material: LaBHPt6
Method: DFT, GGA-PBE
State: optimized geometry

Output
theoretical density: 14.8 Mg/m³
energy: -6.137 eV per atom

a b c (Å): 7.4602 7.4732 10.6639
angles (deg): 90.00 90.00 90.00
Last column: nearest neighbours and their distance in Å.
Space group Imma (No. 74)
Asymmetric unit:
La 0.0000 0.2500 0.1425 x4  6 Pt 3.06-3.21
B 0.2500 0.2500 0.7500 x4  6 Pt 2.12-2.14
H 0.0000 0.0000 0.5000 x4  6 Pt 1.96-2.05
Pt 0.0000 0.2500 0.4433 x4  2 H 1.96
Pt 0.0000 0.2500 0.8493 x4  2 B 2.14
Pt 0.2050 0.0339 0.6254 x16  1 H 2.05, 1 B 2.12


9.
Material: LaB2HRh
Method: DFT, GGA-PBE
State: optimized geometry

Output
theoretical density: 5.6 Mg/m³
energy: -4.015 eV per atom

a b c (Å): 4.6234 4.6234 3.6906
angles (deg): 90.00 90.00 90.00
Last column: nearest neighbours and their distance in Å.
Space group P4/mmm (No. 123)
Asymmetric unit:
La 0.0000 0.0000 0.0000 x1  2 H 1.85
B 0.0000 0.5000 0.0000 x2  2 La 2.31
H 0.0000 0.0000 0.5000 x1  2 La 1.85
Rh 0.5000 0.5000 0.5000 x1  8 B 2.96, 4 H 3.27


10.
Material: LiBH2
Method: DFT, GGA-PBE
State: optimized geometry

Output
theoretical density: 0.9 Mg/m³
excess energy over the best structure of this formula in the dataset: 158 meV/atom

a b c (Å): 3.0739 4.1069 5.9156
angles (deg): 80.45 85.03 77.75
Last column: nearest neighbours and their distance in Å.
Space group P1 (No. 1)
Asymmetric unit:
Li 0.0000 0.0000 0.0000 x1  3 H 1.77-1.90
Li 0.4404 0.0291 0.4455 x1  2 H 1.79-1.80
B 0.1625 0.6030 0.7122 x1  1 H 1.22
B 0.6223 0.6576 0.8244 x1  2 H 1.24-1.33
H 0.2381 0.4950 0.5293 x1  1 B 1.22
H 0.4586 0.3777 0.8529 x1  2 B 1.33-1.38
H 0.5655 0.7279 0.0224 x1  1 B 1.24
H 0.9486 0.0867 0.2858 x1  3 Li 1.77-1.80


11.
Material: LiB6H6
Method: DFT, GGA-PBE
State: optimized geometry

Output
theoretical density: 1.1 Mg/m³
excess energy over the best structure of this formula in the dataset: 0 meV/atom

a b c (Å): 6.6923 9.4804 9.8463
angles (deg): 90.00 131.42 90.00
Last column: nearest neighbours and their distance in Å.
Space group P2_1/c (No. 14)
Asymmetric unit:
Li 0.1281 0.1771 0.2233 x4  5 H 2.00-2.13
B 0.1845 0.0450 0.8985 x4  1 H 1.20
B 0.2566 0.5940 0.3149 x4  1 H 1.20
B 0.3233 0.0831 0.7986 x4  1 H 1.21
B 0.3317 0.6133 0.5243 x4  1 H 1.21
B 0.4402 0.1738 0.9984 x4  1 H 1.21
B 0.4431 0.0520 0.1368 x4  1 H 1.20
H 0.0434 0.5749 0.6784 x4  1 B 1.20
H 0.0802 0.6597 0.1826 x4  1 B 1.20
H 0.1962 0.1406 0.6535 x4  1 B 1.21
H 0.2130 0.6951 0.5426 x4  1 B 1.21
H 0.4021 0.2018 0.4989 x4  1 B 1.21
H 0.4141 0.0856 0.2408 x4  1 B 1.20


12.
Material: LiB2H2
Method: DFT, GGA-PBE
State: optimized geometry

Output
theoretical density: 1.3 Mg/m³
excess energy over the best structure of this formula in the dataset: 16 meV/atom

a b c (Å): 5.0001 2.9807 5.5490
angles (deg): 90.00 102.91 90.00
Last column: nearest neighbours and their distance in Å.
Space group Pm (No. 6)
Asymmetric unit:
Li 0.0000 0.0000 0.0000 x1  3 H 1.82-1.85
Li 0.3514 0.5000 0.3965 x1  3 H 1.83-1.85
B 0.3222 0.0000 0.7726 x1  2 H 1.23-1.24
B 0.4063 0.5000 0.9589 x1  5 B 1.68-1.81
B 0.5111 0.0000 0.0845 x1  5 B 1.68-1.81
B 0.7019 0.5000 0.2027 x1  2 H 1.22-1.26
H 0.0719 0.0000 0.6927 x1  1 B 1.23
H 0.4363 0.0000 0.5958 x1  1 B 1.24
H 0.7231 0.5000 0.4265 x1  1 B 1.22
H 0.9472 0.5000 0.1808 x1  1 B 1.26